No. 1
Entry from the Alexandria database: crystalline LiY2TlV at its relaxed geometry (GGA-PBE).

abc: 5.788 5.788 5.181
angles: 90.00 90.00 90.00
Space group P4/mmm (No. 123)
Unique sites:
Li: 0.000 0.000 0.000 [1 per cell]
Y: 0.000 0.500 0.500 [2 per cell]
Tl: 0.500 0.500 0.500 [1 per cell]
V: 0.500 0.500 0.000 [1 per cell]

Results
ΔH_f (0 K): 3.78 eV per formula unit
Raw total energy: -0.3314 Ry per atom
ρ: 4.21 g cm⁻³
D(E_F): 4.979 states/eV/cell



No. 2
Entry from the Alexandria database: crystalline Li3TlW at its relaxed geometry (GGA-PBE).

abc: 4.844 4.844 4.844
angles: 90.00 90.00 90.00
Space group Pm-3m (No. 221)
Unique sites:
Li: 0.000 0.000 0.500 [3 per cell]
Tl: 0.000 0.000 0.000 [1 per cell]
W: 0.500 0.500 0.500 [1 per cell]

Results
ΔH_f (0 K): 6.29 eV per formula unit
ΔE to the lowest computed polymorph: 0.0 meV per atom
Raw total energy: -0.2172 Ry per atom
ρ: 5.98 g cm⁻³
D(E_F): 2.506 states/eV/cell



No. 3
Entry from the Alexandria database: crystalline Li2TlW at its relaxed geometry (GGA-PBE).

abc: 4.497 4.497 3.082
angles: 90.00 90.00 90.00
Space group P4/mmm (No. 123)
Unique sites:
Li: 0.000 0.500 0.000 [2 per cell]
Tl: 0.000 0.000 0.500 [1 per cell]
W: 0.500 0.500 0.500 [1 per cell]

Results
ΔH_f (0 K): 2.63 eV per formula unit
ΔE to the lowest computed polymorph: 247.2 meV per atom
Raw total energy: -0.3035 Ry per atom
ρ: 10.71 g cm⁻³
D(E_F): 2.357 states/eV/cell



No. 4
Entry from the Alexandria database: crystalline Li2TlW at its relaxed geometry (GGA-PBE).

abc: 2.9726 2.9726 29.7340
angles: 90.00 90.00 120.00
Space group R3m (No. 160, hexagonal axes)
Unique sites:
Li: 0.0000 0.0000 0.0000 [3 per cell]
Li: 0.0000 0.0000 0.2451 [3 per cell]
Tl: 0.0000 0.0000 0.4985 [3 per cell]
W: 0.0000 0.0000 0.7460 [3 per cell]

Results
ΔH_f (0 K): 1.98 eV per formula unit
ΔE to the lowest computed polymorph: 83.1 meV per atom
Raw total energy: -0.3155 Ry per atom
ρ: 8.80 g cm⁻³
D(E_F): 8.892 states/eV/cell



No. 5
Entry from the Alexandria database: crystalline Li2TlW at its relaxed geometry (GGA-PBE).

abc: 2.978 4.859 4.902
angles: 90.00 90.00 90.00
Space group Pmmm (No. 47)
Unique sites:
Li: 0.000 0.000 0.000 [1 per cell]
Li: 0.500 0.000 0.500 [1 per cell]
Tl: 0.000 0.500 0.500 [1 per cell]
W: 0.500 0.500 0.000 [1 per cell]

Results
ΔH_f (0 K): 2.14 eV per formula unit
ΔE to the lowest computed polymorph: 124.9 meV per atom
Raw total energy: -0.3124 Ry per atom
ρ: 9.41 g cm⁻³
D(E_F): 1.596 states/eV/cell



No. 6
Entry from the Alexandria database: crystalline Li2TlW at its relaxed geometry (GGA-PBE).

abc: 2.782 2.782 9.320
angles: 90.00 90.00 90.00
Space group P4/mmm (No. 123)
Unique sites:
Li: 0.000 0.000 0.236 [2 per cell]
Tl: 0.500 0.500 0.500 [1 per cell]
W: 0.500 0.500 0.000 [1 per cell]

Results
ΔH_f (0 K): 1.76 eV per formula unit
ΔE to the lowest computed polymorph: 28.2 meV per atom
Raw total energy: -0.3196 Ry per atom
ρ: 9.25 g cm⁻³
D(E_F): 2.362 states/eV/cell